No. 1
AcLa2 after structural relaxation, computed with GGA-PBE.

abc: 6.0026 6.0026 3.7728
angles: 90.00 90.00 120.00
Closest atoms and distances in Å follow each position.
Space group P6/mmm (No. 191)
One atom of each set of equivalent atoms:
Ac (0.0000, 0.0000, 0.0000) x1  2 Ac 3.77, 12 La 3.95
La (0.3333, 0.6667, 0.5000) x2  5 La 3.47-3.77

Values from the calculation:
Mass density   7121 kg/m3
Formation enthalpy at 0 K   2.4 kJ per mole of atoms
Size of the total moment   0.00 μB/cell
N(E_F)   1.622 states/eV/atom
Energy relative to the lowest polymorph listed for this composition   6 meV per atom

---

No. 2
Ac2La3 after structural relaxation, computed with GGA-PBE.

abc: 12.1238 5.4005 8.5671
angles: 90.00 134.67 90.00
Closest atoms and distances in Å follow each position.
Space group C2/m (No. 12)
One atom of each set of equivalent atoms:
Ac (0.0970, 0.0000, 0.2988) x4  9 La 3.79-3.87, 3 Ac 3.85-3.87
La (0.0000, 0.5000, 0.5000) x2  6 Ac 3.81-3.87, 6 La 3.82-3.84
La (0.2012, 0.5000, 0.0971) x4  6 La 3.77-3.89, 6 Ac 3.79-3.87

Values from the calculation:
Mass density   7249 kg/m3
Formation enthalpy at 0 K   2.0 kJ per mole of atoms
Size of the total moment   0.00 μB/cell
N(E_F)   2.090 states/eV/atom
Energy relative to the lowest polymorph listed for this composition   0 meV per atom

---

No. 3
AcLa5 after structural relaxation, computed with GGA-PBE.

abc: 3.7730 3.7730 15.9613
angles: 90.00 90.00 90.00
Closest atoms and distances in Å follow each position.
Space group P4/mmm (No. 123)
One atom of each set of equivalent atoms:
Ac (0.0000, 0.0000, 0.0000) x1  4 Ac 3.77, 8 La 3.87
La (0.0000, 0.0000, 0.3373) x2  12 La 3.71-3.77
La (0.5000, 0.5000, 0.1754) x2  8 La 3.71-3.77, 4 Ac 3.87
La (0.5000, 0.5000, 0.5000) x1  12 La 3.72-3.77

Values from the calculation:
Mass density   6735 kg/m3
Formation enthalpy at 0 K   1.2 kJ per mole of atoms
Size of the total moment   0.00 μB/cell
N(E_F)   1.881 states/eV/atom
Energy relative to the lowest polymorph listed for this composition   2 meV per atom

---

Number 2 is which compound?
Ac2La3

---

Repeat the first record exactly.
AcLa2 after structural relaxation, computed with GGA-PBE.

abc: 6.0026 6.0026 3.7728
angles: 90.00 90.00 120.00
Closest atoms and distances in Å follow each position.
Space group P6/mmm (No. 191)
One atom of each set of equivalent atoms:
Ac (0.0000, 0.0000, 0.0000) x1  2 Ac 3.77, 12 La 3.95
La (0.3333, 0.6667, 0.5000) x2  5 La 3.47-3.77

Values from the calculation:
Mass density   7121 kg/m3
Formation enthalpy at 0 K   2.4 kJ per mole of atoms
Size of the total moment   0.00 μB/cell
N(E_F)   1.622 states/eV/atom
Energy relative to the lowest polymorph listed for this composition   6 meV per atom

---

Which value of energy relative to the lowest polymorph listed for this composition does entry 3 give?
2 meV per atom